1.
Material: La2PmSc
Method: DFT, PBE
State: optimized geometry

Geometry as POSCAR:
```
La2PmSc
1.0
1.804 1.042 11.645
-1.804 1.042 11.645
0.000 -2.084 11.645
La Pm Sc
2 1 1
Cartesian
0.000 0.000 0.000
0.000 0.000 6.107
0.000 0.000 14.642
0.000 0.000 20.543
```

Properties
Crystal system ... trigonal
Density ... 5.914 g/cm³
Calculated total energy ... -20.67 eV per formula unit
Offset from the most stable computed form ... 0.11 eV per formula unit
Space group ... No. 160
Formation energy ... 0.27 eV per formula unit



2.
Material: La14PmSc
Method: DFT, PBE
State: optimized geometry

Geometry as POSCAR:
```
La14PmSc
1.0
5.201 -5.210 0.000
5.201 5.210 0.000
0.000 0.000 10.464
La Pm Sc
14 1 1
Cartesian
0.000 0.000 0.000
2.601 2.605 0.000
2.601 2.605 5.232
2.549 0.000 2.659
2.549 0.000 7.805
5.201 2.660 2.663
5.201 2.660 7.800
2.601 -2.605 0.000
2.601 -2.605 5.232
5.201 0.000 0.000
5.201 -2.660 2.663
5.201 -2.660 7.800
7.854 0.000 2.659
7.854 0.000 7.805
5.201 0.000 5.232
0.000 0.000 5.232
```

Properties
Crystal system ... orthorhombic
Density ... 6.250 g/cm³
Calculated total energy ... -79.83 eV per formula unit
Space group ... No. 65
Formation energy ... 0.24 eV per formula unit



3.
Material: La3Pm5Sc2
Method: DFT, PBE
State: optimized geometry

Geometry as POSCAR:
```
La3Pm5Sc2
1.0
5.503 -7.792 0.000
5.503 7.792 0.000
-5.475 0.000 7.795
La Pm Sc
6 10 4
Cartesian
1.347 1.978 0.427
1.397 4.221 5.846
-1.390 -1.978 4.324
6.921 1.978 3.471
4.134 -4.221 1.949
4.184 -1.978 7.369
1.397 7.386 5.846
-1.289 1.827 5.969
4.134 3.508 1.949
1.448 -1.827 2.071
4.134 0.416 1.949
1.397 -0.416 5.846
4.082 1.827 5.724
1.397 -3.508 5.846
6.820 -1.827 1.827
4.134 -7.386 1.949
1.377 1.841 3.526
-1.360 -1.841 7.423
6.891 1.841 0.372
4.154 -1.841 4.270
```

Properties
Crystal system ... monoclinic
Density ... 6.119 g/cm³
Calculated total energy ... -49.42 eV per formula unit
Space group ... No. 15
Formation energy ... 1.78 eV per formula unit



4.
Material: La5Pm6Sc
Method: DFT, PBE
State: optimized geometry

Geometry as POSCAR:
```
La5Pm6Sc
1.0
-2.596 5.166 7.747
2.596 -5.166 7.747
2.596 5.166 -7.747
La Pm Sc
5 6 1
Cartesian
0.000 0.000 0.000
2.596 0.000 2.583
0.000 0.000 5.227
0.000 0.000 10.266
0.000 5.166 5.163
2.596 -2.539 5.201
2.596 2.636 0.000
0.000 2.627 2.545
2.596 2.539 5.201
0.000 2.530 7.747
0.000 7.705 2.545
0.000 5.166 0.000
```

Properties
Crystal system ... orthorhombic
Density ... 6.433 g/cm³
Calculated total energy ... -59.05 eV per formula unit
Space group ... No. 71
Formation energy ... 0.42 eV per formula unit



5.
Material: LaPm12Sc3
Method: DFT, PBE
State: optimized geometry

Geometry as POSCAR:
```
LaPm12Sc3
1.0
5.063 0.000 0.000
0.000 5.063 0.000
0.000 0.000 20.277
La Pm Sc
1 12 3
Cartesian
0.000 0.000 0.000
0.000 2.531 2.674
0.000 2.531 7.652
0.000 2.531 12.626
0.000 2.531 17.603
2.531 0.000 2.674
2.531 0.000 7.652
2.531 0.000 12.626
2.531 0.000 17.603
2.531 2.531 0.000
2.531 2.531 5.186
2.531 2.531 10.139
2.531 2.531 15.092
0.000 0.000 5.155
0.000 0.000 10.139
0.000 0.000 15.122
```

Properties
Crystal system ... tetragonal
Density ... 6.434 g/cm³
Calculated total energy ... -80.33 eV per formula unit
Space group ... No. 123
Formation energy ... 0.60 eV per formula unit



6.
Material: La3Pm4Sc2
Method: DFT, PBE
State: optimized geometry

Geometry as POSCAR:
```
La3Pm4Sc2
1.0
5.698 -2.551 0.000
5.698 2.551 0.000
-3.531 0.000 10.133
La Pm Sc
3 4 2
Cartesian
0.000 0.000 0.000
2.180 0.000 4.517
5.685 0.000 5.616
-2.311 0.000 6.803
3.399 0.000 1.106
4.467 0.000 9.027
10.177 0.000 3.330
1.065 0.000 7.908
6.801 0.000 2.225
```

Properties
Crystal system ... monoclinic
Density ... 6.124 g/cm³
Calculated total energy ... -45.99 eV per formula unit
Space group ... No. 12
Formation energy ... 0.46 eV per formula unit



7.
Material: La2PmSc
Method: DFT, PBE
State: optimized geometry

Geometry as POSCAR:
```
La2PmSc
1.0
5.101 0.000 0.000
0.000 5.101 0.000
0.000 0.000 5.026
La Pm Sc
2 1 1
Cartesian
0.000 2.551 0.000
2.551 0.000 0.000
0.000 0.000 2.513
2.551 2.551 2.513
```

Properties
Crystal system ... tetragonal
Density ... 5.939 g/cm³
Calculated total energy ... -20.78 eV per formula unit
Offset from the most stable computed form ... 0.00 eV per formula unit
Space group ... No. 123
Formation energy ... 0.16 eV per formula unit



8.
Material: La7Pm4Sc
Method: DFT, PBE
State: optimized geometry

Geometry as POSCAR:
```
La7Pm4Sc
1.0
6.368 0.000 0.000
-0.014 7.284 0.000
-3.176 -1.770 9.001
La Pm Sc
7 4 1
Cartesian
0.000 0.000 0.000
-1.052 1.870 2.968
4.229 3.644 6.033
1.042 5.486 5.991
3.181 1.873 0.002
-0.003 3.642 9.000
2.135 0.029 3.010
-2.109 0.053 6.035
2.069 3.656 2.972
1.109 1.858 6.030
5.287 5.461 2.967
-0.007 3.642 0.000
```

Properties
Crystal system ... triclinic
Density ... 6.353 g/cm³
Calculated total energy ... -59.50 eV per formula unit
Space group ... No. 2
Formation energy ... 0.33 eV per formula unit



9.
Material: La6Pm12Sc
Method: DFT, PBE
State: optimized geometry

Geometry as POSCAR:
```
La6Pm12Sc
1.0
6.163 3.558 5.049
-6.163 3.558 5.049
0.000 -7.117 5.049
La Pm Sc
6 12 1
Cartesian
-2.405 -2.609 7.886
-3.462 0.778 7.261
1.057 -3.387 7.261
-1.057 3.387 7.886
3.462 -0.778 7.886
2.405 2.609 7.261
-1.544 -5.570 6.324
-5.596 -1.448 8.822
-1.106 -1.761 4.728
-4.052 4.122 6.324
-0.972 1.839 4.728
2.079 -0.078 4.728
-2.078 0.078 10.418
0.972 -1.839 10.418
4.052 -4.122 8.822
1.106 1.761 10.418
5.596 1.448 6.324
1.544 5.570 8.822
0.000 0.000 7.573
```

Properties
Crystal system ... trigonal
Density ... 6.544 g/cm³
Calculated total energy ... -90.60 eV per formula unit
Space group ... No. 148
Formation energy ... 2.30 eV per formula unit



10.
Material: LaPm2Sc5
Method: DFT, PBE
State: optimized geometry

Geometry as POSCAR:
```
LaPm2Sc5
1.0
-3.465 3.465 4.645
3.465 -3.465 4.645
3.465 3.465 -4.645
La Pm Sc
1 2 5
Cartesian
0.000 0.000 0.000
3.465 0.000 0.000
0.000 3.465 0.000
1.733 1.733 -2.323
1.733 -1.733 2.323
-1.733 1.733 2.323
0.000 0.000 4.645
1.733 1.733 2.323
```

Properties
Crystal system ... tetragonal
Density ... 4.866 g/cm³
Calculated total energy ... -45.60 eV per formula unit
Space group ... No. 139
Formation energy ... 0.48 eV per formula unit



11.
Material: La4Pm5Sc2
Method: DFT, PBE
State: optimized geometry

Geometry as POSCAR:
```
La4Pm5Sc2
1.0
12.109 -1.732 0.000
12.109 1.732 0.000
-1.103 0.000 8.729
La Pm Sc
4 5 2
Cartesian
0.752 0.000 3.144
1.448 0.000 6.378
21.667 0.000 2.351
22.363 0.000 5.585
3.342 0.000 1.131
4.715 0.000 7.139
12.109 0.000 0.000
18.400 0.000 1.590
19.773 0.000 7.598
7.061 0.000 4.605
16.053 0.000 4.124
```

Properties
Crystal system ... monoclinic
Density ... 6.217 g/cm³
Calculated total energy ... -54.43 eV per formula unit
Space group ... No. 12
Formation energy ... 1.70 eV per formula unit



12.
Material: La2Pm3ScSe6
Method: DFT, PBE
State: optimized geometry

Geometry as POSCAR:
```
La2Pm3ScSe6
1.0
9.111 -2.087 0.000
9.111 2.087 0.000
-1.933 0.000 8.205
La Pm Sc Se
2 3 1 6
Cartesian
2.368 0.000 2.731
13.922 0.000 5.474
1.505 0.000 6.862
8.145 0.000 4.102
14.785 0.000 1.343
9.111 0.000 0.000
-1.408 0.000 6.308
5.308 0.000 3.377
4.446 0.000 7.595
11.844 0.000 0.609
10.982 0.000 4.828
17.698 0.000 1.896
```

Properties
Crystal system ... monoclinic
Density ... 6.553 g/cm³
Formation energy (no corrections) ... -1824.9 meV per atom
Calculated total energy ... -73.24 eV per formula unit
Space group ... No. 12



13.
Material: La3Pm4ScSe8
Method: DFT, PBE
State: optimized geometry

Geometry as POSCAR:
```
La3Pm4ScSe8
1.0
4.211 2.431 6.869
-4.211 2.431 6.869
0.000 -4.863 6.869
La Pm Sc Se
3 4 1 8
Cartesian
-2.106 -1.216 6.869
-2.106 1.216 13.739
0.000 2.431 6.869
-4.211 0.000 10.304
-2.106 1.216 3.435
2.106 1.216 3.435
0.000 0.000 10.304
0.000 0.000 0.000
-2.201 -1.271 12.050
0.000 -2.541 8.559
-2.201 1.271 8.559
0.000 0.000 5.099
0.000 0.000 15.510
2.201 -1.271 12.050
0.000 2.541 12.050
2.201 1.271 8.559
```

Properties
Crystal system ... trigonal
Density ... 6.584 g/cm³
Formation energy (no corrections) ... -1841.1 meV per atom
Calculated total energy ... -97.45 eV per formula unit
Space group ... No. 166



14.
Material: La2PmScSe4
Method: DFT, PBE
State: optimized geometry

Geometry as POSCAR:
```
La2PmScSe4
1.0
7.250 0.000 0.000
0.000 4.135 0.000
-2.365 0.000 6.894
La Pm Sc Se
2 1 1 4
Cartesian
0.000 0.000 0.000
3.625 2.068 0.000
-1.182 2.068 3.447
2.443 0.000 3.447
0.128 0.000 5.055
1.311 2.068 1.897
3.575 2.068 4.997
4.758 0.000 1.839
```

Properties
Crystal system ... monoclinic
Density ... 6.295 g/cm³
Formation energy (no corrections) ... -1831.1 meV per atom
Calculated total energy ... -49.52 eV per formula unit
Space group ... No. 10



15.
Material: LaPmScSe3
Method: DFT, PBE
State: optimized geometry

Geometry as POSCAR:
```
LaPmScSe3
1.0
8.609 0.000 0.000
0.000 4.144 0.000
-2.369 0.000 9.073
La Pm Sc Se
2 2 2 6
Cartesian
1.047 1.036 1.957
5.192 3.108 7.116
0.957 3.108 7.793
5.283 1.036 1.281
-0.525 1.036 5.437
6.764 3.108 3.637
-1.233 1.036 7.975
0.809 3.108 4.450
3.253 3.108 1.687
2.987 1.036 7.386
5.431 1.036 4.623
7.473 3.108 1.098
```

Properties
Crystal system ... monoclinic
Density ... 5.805 g/cm³
Formation energy (no corrections) ... -1663.2 meV per atom
Calculated total energy ... -36.44 eV per formula unit
Space group ... No. 11



16.
Material: La2Pm4SmSc
Method: DFT, PBE
State: optimized geometry

Geometry as POSCAR:
```
La2Pm4SmSc
1.0
5.107 0.000 0.000
0.000 5.107 0.000
0.000 0.000 10.316
La Pm Sm Sc
2 4 1 1
Cartesian
0.000 0.000 0.000
2.554 2.554 5.158
0.000 2.554 2.521
0.000 2.554 7.794
2.554 0.000 2.521
2.554 0.000 7.794
0.000 0.000 5.158
2.554 2.554 0.000
```

Properties
Crystal system ... tetragonal
Density ... 6.499 g/cm³
Calculated total energy ... -39.59 eV per formula unit
Space group ... No. 123
Formation energy ... 0.32 eV per formula unit



17.
Material: LaPmSm2Sc
Method: DFT, PBE
State: optimized geometry

Geometry as POSCAR:
```
LaPmSm2Sc
1.0
7.959 0.000 0.000
0.000 5.103 0.000
-0.105 0.000 8.011
La Pm Sm Sc
2 2 4 2
Cartesian
1.907 1.276 1.916
5.946 3.827 6.095
3.466 1.276 5.225
4.387 3.827 2.786
1.116 3.827 4.369
2.596 3.827 7.592
5.257 1.276 0.419
6.738 1.276 3.642
0.301 1.276 6.809
7.552 3.827 1.202
```

Properties
Crystal system ... monoclinic
Density ... 6.427 g/cm³
Calculated total energy ... -25.19 eV per formula unit
Space group ... No. 11
Formation energy ... 0.26 eV per formula unit



18.
Material: LaPm5Sm2Sc
Method: DFT, PBE
State: optimized geometry

Geometry as POSCAR:
```
LaPm5Sm2Sc
1.0
2.852 -10.063 0.000
2.852 10.063 0.000
0.000 0.000 10.570
La Pm Sm Sc
2 10 4 2
Cartesian
2.852 8.301 5.285
2.852 -8.301 0.000
2.852 9.765 8.280
2.852 7.525 0.616
2.852 5.943 7.876
2.852 5.575 3.825
2.852 0.340 0.624
2.852 -0.340 5.909
2.852 -5.575 9.110
2.852 -5.943 2.591
2.852 -7.525 5.901
2.852 -9.765 2.995
2.852 2.328 8.181
2.852 2.283 3.735
2.852 -2.283 9.020
2.852 -2.328 2.896
2.852 3.955 0.559
2.852 -3.955 5.844
```

Properties
Crystal system ... orthorhombic
Density ... 6.621 g/cm³
Calculated total energy ... -43.04 eV per formula unit
Space group ... No. 36
Formation energy ... 1.41 eV per formula unit



19.
Material: La2PmSm5Sc
Method: DFT, PBE
State: optimized geometry

Geometry as POSCAR:
```
La2PmSm5Sc
1.0
2.741 -11.006 0.000
2.741 11.006 0.000
0.000 0.000 10.186
La Pm Sm Sc
4 2 10 2
Cartesian
2.741 8.419 5.093
2.741 8.411 9.996
2.741 -8.419 0.000
2.741 -8.411 4.904
2.741 2.249 7.545
2.741 -2.249 2.452
2.741 -10.999 2.453
2.741 10.999 7.545
2.741 4.914 5.640
2.741 4.905 9.459
2.741 2.782 2.454
2.741 0.000 4.999
2.741 0.000 10.092
2.741 -2.782 7.547
2.741 -4.914 0.547
2.741 -4.905 4.366
2.741 6.265 2.456
2.741 -6.265 7.549
```

Properties
Crystal system ... orthorhombic
Density ... 6.590 g/cm³
Calculated total energy ... -43.44 eV per formula unit
Space group ... No. 36
Formation energy ... 1.10 eV per formula unit



20.
Material: La3Pm2Sm6Sc
Method: DFT, PBE
State: optimized geometry

Geometry as POSCAR:
```
La3Pm2Sm6Sc
1.0
3.140 -5.442 0.000
3.140 5.442 0.000
-2.105 0.000 11.879
La Pm Sm Sc
3 2 6 1
Cartesian
0.000 0.000 0.000
3.140 1.814 0.000
3.140 -1.814 0.000
2.087 3.630 5.939
2.087 -3.630 5.939
1.060 1.792 3.044
0.011 0.000 8.839
1.060 -1.792 3.044
3.115 1.792 8.835
4.163 0.000 3.039
3.115 -1.792 8.835
2.087 0.000 5.939
```

Properties
Crystal system ... monoclinic
Density ... 6.765 g/cm³
Calculated total energy ... -58.56 eV per formula unit
Space group ... No. 12
Formation energy ... 0.37 eV per formula unit